No. 1
This record from the Alexandria database describes crystalline CaTiBi3 at its relaxed geometry. The functional is PBE.

Cell lengths 5.469, 5.469, 5.469 Å; angles 90.00, 90.00, 90.00 degrees
Positions (direct):
Ca: 0.000 0.000 0.000
Ti: 0.500 0.500 0.500
Bi: 0.000 0.500 0.500
Bi: 0.500 0.000 0.500
Bi: 0.500 0.500 0.000

Calculated values
Density = 7257 kg/m³
Formation enthalpy at 0 K = -0.12 eV/atom
Volume = 164 Å³/f.u.

=====

No. 2
This record from the Alexandria database describes crystalline LiTm2Pt at its relaxed geometry. The functional is PBE.

Cell lengths 4.792, 4.792, 3.642 Å; angles 90.00, 90.00, 90.00 degrees
Positions (direct):
Li: 0.000 0.000 0.000
Tm: 0.000 0.500 0.500
Tm: 0.500 0.000 0.500
Pt: 0.500 0.500 0.000

Calculated values
Density = 10721 kg/m³
Formation enthalpy at 0 K = -0.68 eV/atom
Volume = 84 Å³/f.u.

=====

No. 3
This record from the Alexandria database describes crystalline YCr2SbIr at its relaxed geometry. The functional is PBE.

Cell lengths 4.771, 4.771, 5.393 Å; angles 90.00, 90.00, 90.00 degrees
Positions (direct):
Y: 0.000 0.000 0.000
Cr: 0.000 0.500 0.500
Cr: 0.500 0.000 0.500
Sb: 0.500 0.500 0.000
Ir: 0.000 0.000 0.500

Calculated values
Density = 6858 kg/m³
Volume = 123 Å³/f.u.
Raw formation energy = 0.380 eV/atom

=====

No. 4
This record from the Alexandria database describes crystalline MgCdW2 at its relaxed geometry. The functional is PBE.

Cell lengths 2.757, 2.757, 9.358 Å; angles 90.00, 90.00, 90.00 degrees
Positions (direct):
Mg: 0.000 0.000 0.000
Cd: 0.500 0.500 0.734
W: 0.000 0.000 0.483
W: 0.500 0.500 0.238

Calculated values
Density = 11775 kg/m³
Formation enthalpy at 0 K = 0.46 eV/atom
Volume = 71 Å³/f.u.

=====

No. 5
This record from the Alexandria database describes crystalline KCuIBr2 at its relaxed geometry. The functional is PBE.

Cell lengths 5.220, 5.220, 5.501 Å; angles 90.00, 90.00, 90.00 degrees
Positions (direct):
K: 0.000 0.000 0.000
Cu: 0.500 0.500 0.500
I: 0.500 0.500 0.000
Br: 0.000 0.500 0.500
Br: 0.500 0.000 0.500

Calculated values
Density = 4314 kg/m³
Volume = 150 Å³/f.u.
Raw formation energy = -0.742 eV/atom

=====

No. 6
This record from the Alexandria database describes crystalline Li4CdAu7 at its relaxed geometry. The functional is PBE.

Cell lengths 5.956, 5.956, 9.737 Å; angles 117.75, 117.75, 51.25 degrees
Positions (direct):
Li: 0.093 0.093 0.274
Li: 0.258 0.258 0.839
Li: 0.742 0.742 0.161
Li: 0.907 0.907 0.726
Cd: 0.500 0.500 0.500
Au: 0.000 0.000 0.500
Au: 0.136 0.136 0.022
Au: 0.285 0.285 0.588
Au: 0.432 0.432 0.164
Au: 0.568 0.568 0.836
Au: 0.715 0.715 0.412
Au: 0.864 0.864 0.978

Calculated values
Density = 10934 kg/m³
Formation enthalpy at 0 K = -0.29 eV/atom
Volume = 231 Å³/f.u.

=====

No. 7
This record from the Alexandria database describes crystalline CsCoTe2I at its relaxed geometry. The functional is PBE.

Cell lengths 5.137, 5.137, 6.579 Å; angles 90.00, 90.00, 90.00 degrees
Positions (direct):
Cs: 0.000 0.000 0.000
Co: 0.500 0.500 0.500
Te: 0.000 0.500 0.500
Te: 0.500 0.000 0.500
I: 0.500 0.500 0.000

Calculated values
Density = 5488 kg/m³
Volume = 174 Å³/f.u.
Raw formation energy = -0.238 eV/atom

=====

No. 8
This record from the Alexandria database describes crystalline Si2AgI at its relaxed geometry. The functional is PBE.

Cell lengths 6.988, 6.988, 6.988 Å; angles 90.00, 90.00, 90.00 degrees
Positions (direct):
Si: 0.250 0.250 0.250
Si: 0.250 0.250 0.750
Si: 0.250 0.750 0.250
Si: 0.250 0.750 0.750
Si: 0.750 0.250 0.250
Si: 0.750 0.250 0.750
Si: 0.750 0.750 0.250
Si: 0.750 0.750 0.750
Ag: 0.000 0.000 0.000
Ag: 0.000 0.500 0.500
Ag: 0.500 0.000 0.500
Ag: 0.500 0.500 0.000
I: 0.000 0.000 0.500
I: 0.000 0.500 0.000
I: 0.500 0.000 0.000
I: 0.500 0.500 0.500

Calculated values
Density = 5663 kg/m³
Volume = 85 Å³/f.u.
Raw formation energy = 0.929 eV/atom

=====

no.,energy (eV per cell)
1,-22.1
2,-19.6
3,-36.8
4,-26.6
5,-13.8
6,-35.0
7,-17.0
8,-46.1